[1]
# PBE-GGA Sr2CaCoSn, relaxed
# Fermi-level density of states: 0.79 states/eV/atom
# ΔE_f: 71 kJ per mole of atoms
data_Sr2CaCoSn
_cell_length_a 6.3536
_cell_length_b 6.3536
_cell_length_c 4.3616
_cell_angle_alpha 90.00
_cell_angle_beta 90.00
_cell_angle_gamma 90.00
_symmetry_space_group_name_H-M 'P 1'
_symmetry_Int_Tables_number 1
loop_
_symmetry_equiv_pos_as_xyz
'x,y,z'
loop_
_atom_site_label
_atom_site_fract_x
_atom_site_fract_y
_atom_site_fract_z
Sr1 0.0000 0.5000 0.0000
Sr2 0.5000 0.0000 0.0000
Ca1 0.0000 0.0000 0.0000
Co1 0.0000 0.0000 0.5000
Sn1 0.5000 0.5000 0.5000


[2]
# PBE-GGA CaTiCoSn2, relaxed
# Fermi-level density of states: 1.18 states/eV/atom
# ΔE_f: 158 kJ per mole of atoms
data_CaTiCoSn2
_cell_length_a 5.5218
_cell_length_b 5.5218
_cell_length_c 4.6480
_cell_angle_alpha 90.00
_cell_angle_beta 90.00
_cell_angle_gamma 90.00
_symmetry_space_group_name_H-M 'P 1'
_symmetry_Int_Tables_number 1
loop_
_symmetry_equiv_pos_as_xyz
'x,y,z'
loop_
_atom_site_label
_atom_site_fract_x
_atom_site_fract_y
_atom_site_fract_z
Ca1 0.0000 0.0000 0.0000
Ti1 0.0000 0.0000 0.5000
Co1 0.5000 0.5000 0.5000
Sn1 0.0000 0.5000 0.0000
Sn2 0.5000 0.0000 0.0000


[3]
# PBE-GGA CaZnCoSn2, relaxed
# Fermi-level density of states: 0.61 states/eV/atom
# ΔE_f: -15 kJ per mole of atoms
data_CaZnCoSn2
_cell_length_a 4.9129
_cell_length_b 4.9129
_cell_length_c 4.7313
_cell_angle_alpha 90.00
_cell_angle_beta 90.00
_cell_angle_gamma 90.00
_symmetry_space_group_name_H-M 'P 1'
_symmetry_Int_Tables_number 1
loop_
_symmetry_equiv_pos_as_xyz
'x,y,z'
loop_
_atom_site_label
_atom_site_fract_x
_atom_site_fract_y
_atom_site_fract_z
Ca1 0.0000 0.0000 0.0000
Zn1 0.5000 0.5000 0.0000
Co1 0.5000 0.5000 0.5000
Sn1 0.0000 0.5000 0.5000
Sn2 0.5000 0.0000 0.5000


[4]
# PBE-GGA Sr2CaCo, relaxed
# Fermi-level density of states: 0.98 states/eV/atom
# ΔE to the lowest computed polymorph: 0.2434 eV per atom
# ΔE_f: 52 kJ per mole of atoms
data_Sr2CaCo
_cell_length_a 6.4490
_cell_length_b 6.4490
_cell_length_c 6.4490
_cell_angle_alpha 133.60
_cell_angle_beta 133.60
_cell_angle_gamma 67.71
_symmetry_space_group_name_H-M 'P 1'
_symmetry_Int_Tables_number 1
loop_
_symmetry_equiv_pos_as_xyz
'x,y,z'
loop_
_atom_site_label
_atom_site_fract_x
_atom_site_fract_y
_atom_site_fract_z
Sr1 0.0000 0.0000 0.0000
Sr2 0.7500 0.2500 0.5000
Ca1 0.2500 0.7500 0.5000
Co1 0.5000 0.5000 0.0000


[5]
# PBE-GGA Sr2CaCo, relaxed
# Fermi-level density of states: 1.05 states/eV/atom
# ΔE to the lowest computed polymorph: 0.1199 eV per atom
# ΔE_f: 40 kJ per mole of atoms
data_Sr2CaCo
_cell_length_a 8.0115
_cell_length_b 8.0115
_cell_length_c 8.0115
_cell_angle_alpha 96.92
_cell_angle_beta 96.92
_cell_angle_gamma 139.38
_symmetry_space_group_name_H-M 'P 1'
_symmetry_Int_Tables_number 1
loop_
_symmetry_equiv_pos_as_xyz
'x,y,z'
loop_
_atom_site_label
_atom_site_fract_x
_atom_site_fract_y
_atom_site_fract_z
Sr1 0.3750 0.2313 0.3563
Sr2 0.7687 0.1250 0.1437
Sr3 0.8750 0.0187 0.6437
Sr4 0.9813 0.6250 0.8563
Ca1 0.2500 0.7500 0.5000
Ca2 0.5000 0.5000 0.0000
Co1 0.0000 0.0000 0.0000
Co2 0.7500 0.2500 0.5000


[6]
# PBE-GGA Sr2CaCo, relaxed
# Fermi-level density of states: 1.17 states/eV/atom
# ΔE to the lowest computed polymorph: 0.2235 eV per atom
# ΔE_f: 50 kJ per mole of atoms
data_Sr2CaCo
_cell_length_a 5.2773
_cell_length_b 5.2773
_cell_length_c 4.9801
_cell_angle_alpha 90.00
_cell_angle_beta 90.00
_cell_angle_gamma 90.00
_symmetry_space_group_name_H-M 'P 1'
_symmetry_Int_Tables_number 1
loop_
_symmetry_equiv_pos_as_xyz
'x,y,z'
loop_
_atom_site_label
_atom_site_fract_x
_atom_site_fract_y
_atom_site_fract_z
Sr1 0.0000 0.5000 0.0000
Sr2 0.5000 0.0000 0.0000
Ca1 0.0000 0.0000 0.5000
Co1 0.5000 0.5000 0.5000


[7]
# PBE-GGA Sr2CaCo, relaxed
# Fermi-level density of states: 1.63 states/eV/atom
# ΔE to the lowest computed polymorph: 0.0562 eV per atom
# ΔE_f: 34 kJ per mole of atoms
data_Sr2CaCo
_cell_length_a 8.7978
_cell_length_b 8.7978
_cell_length_c 8.7978
_cell_angle_alpha 156.02
_cell_angle_beta 148.31
_cell_angle_gamma 40.13
_symmetry_space_group_name_H-M 'P 1'
_symmetry_Int_Tables_number 1
loop_
_symmetry_equiv_pos_as_xyz
'x,y,z'
loop_
_atom_site_label
_atom_site_fract_x
_atom_site_fract_y
_atom_site_fract_z
Sr1 0.1555 0.1555 0.0000
Sr2 0.8445 0.8445 0.0000
Ca1 0.5000 0.0000 0.5000
Co1 0.0000 0.5000 0.5000


[8]
# PBE-GGA SrCaCo, relaxed
# Fermi-level density of states: 2.69 states/eV/atom
# ΔE to the lowest computed polymorph: 1.0116 eV per atom
# ΔE_f: 106 kJ per mole of atoms
data_SrCaCo
_cell_length_a 5.1547
_cell_length_b 5.1547
_cell_length_c 5.1547
_cell_angle_alpha 60.00
_cell_angle_beta 60.00
_cell_angle_gamma 60.00
_symmetry_space_group_name_H-M 'P 1'
_symmetry_Int_Tables_number 1
loop_
_symmetry_equiv_pos_as_xyz
'x,y,z'
loop_
_atom_site_label
_atom_site_fract_x
_atom_site_fract_y
_atom_site_fract_z
Sr1 0.0000 0.0000 0.0000
Ca1 0.2500 0.2500 0.2500
Co1 0.7500 0.7500 0.7500


[9]
# PBE-GGA Sr2CaCo, relaxed
# Fermi-level density of states: 1.82 states/eV/atom
# ΔE to the lowest computed polymorph: 0.0000 eV per atom
# ΔE_f: 29 kJ per mole of atoms
data_Sr2CaCo
_cell_length_a 3.7593
_cell_length_b 3.7593
_cell_length_c 9.9398
_cell_angle_alpha 90.00
_cell_angle_beta 90.00
_cell_angle_gamma 90.00
_symmetry_space_group_name_H-M 'P 1'
_symmetry_Int_Tables_number 1
loop_
_symmetry_equiv_pos_as_xyz
'x,y,z'
loop_
_atom_site_label
_atom_site_fract_x
_atom_site_fract_y
_atom_site_fract_z
Sr1 0.0000 0.0000 0.0000
Sr2 0.5000 0.5000 0.3473
Ca1 0.0000 0.0000 0.6636
Co1 0.5000 0.5000 0.8152


[10]
# PBE-GGA Sr2CaCo, relaxed
# Fermi-level density of states: 1.49 states/eV/atom
# ΔE to the lowest computed polymorph: 0.2803 eV per atom
# ΔE_f: 56 kJ per mole of atoms
data_Sr2CaCo
_cell_length_a 5.6795
_cell_length_b 5.6795
_cell_length_c 5.6795
_cell_angle_alpha 60.00
_cell_angle_beta 60.00
_cell_angle_gamma 60.00
_symmetry_space_group_name_H-M 'P 1'
_symmetry_Int_Tables_number 1
loop_
_symmetry_equiv_pos_as_xyz
'x,y,z'
loop_
_atom_site_label
_atom_site_fract_x
_atom_site_fract_y
_atom_site_fract_z
Sr1 0.2500 0.2500 0.2500
Sr2 0.7500 0.7500 0.7500
Ca1 0.0000 0.0000 0.0000
Co1 0.5000 0.5000 0.5000


[11]
# PBE-GGA Sr2CaCo, relaxed
# Fermi-level density of states: 1.70 states/eV/atom
# ΔE to the lowest computed polymorph: 0.0278 eV per atom
# ΔE_f: 31 kJ per mole of atoms
data_Sr2CaCo
_cell_length_a 7.1117
_cell_length_b 7.1117
_cell_length_c 6.0290
_cell_angle_alpha 115.06
_cell_angle_beta 115.06
_cell_angle_gamma 31.01
_symmetry_space_group_name_H-M 'P 1'
_symmetry_Int_Tables_number 1
loop_
_symmetry_equiv_pos_as_xyz
'x,y,z'
loop_
_atom_site_label
_atom_site_fract_x
_atom_site_fract_y
_atom_site_fract_z
Sr1 0.0000 0.0000 0.0000
Sr2 0.1812 0.1812 0.6816
Ca1 0.3562 0.3562 0.3560
Co1 0.6869 0.6869 0.1813


[12]
# PBE-GGA SrCaCo, relaxed
# Fermi-level density of states: 0.95 states/eV/atom
# ΔE to the lowest computed polymorph: 0.0000 eV per atom
# ΔE_f: 8 kJ per mole of atoms
data_SrCaCo
_cell_length_a 8.2177
_cell_length_b 8.2177
_cell_length_c 6.2213
_cell_angle_alpha 100.45
_cell_angle_beta 100.45
_cell_angle_gamma 28.46
_symmetry_space_group_name_H-M 'P 1'
_symmetry_Int_Tables_number 1
loop_
_symmetry_equiv_pos_as_xyz
'x,y,z'
loop_
_atom_site_label
_atom_site_fract_x
_atom_site_fract_y
_atom_site_fract_z
Sr1 0.0870 0.0870 0.2918
Sr2 0.9130 0.9130 0.7082
Ca1 0.3303 0.3303 0.1833
Ca2 0.6697 0.6697 0.8167
Co1 0.2587 0.2587 0.5761
Co2 0.7413 0.7413 0.4239


[13]
# PBE-GGA Sr4CaCo, relaxed
# Fermi-level density of states: 1.37 states/eV/atom
# ΔE_f: 76 kJ per mole of atoms
data_Sr4CaCo
_cell_length_a 7.4405
_cell_length_b 7.4405
_cell_length_c 7.4405
_cell_angle_alpha 60.00
_cell_angle_beta 60.00
_cell_angle_gamma 60.00
_symmetry_space_group_name_H-M 'P 1'
_symmetry_Int_Tables_number 1
loop_
_symmetry_equiv_pos_as_xyz
'x,y,z'
loop_
_atom_site_label
_atom_site_fract_x
_atom_site_fract_y
_atom_site_fract_z
Sr1 0.1253 0.1253 0.1253
Sr2 0.1253 0.1253 0.6242
Sr3 0.1253 0.6242 0.1253
Sr4 0.6242 0.1253 0.1253
Ca1 0.7500 0.7500 0.7500
Co1 0.5000 0.5000 0.5000


[14]
# PBE-GGA SrCaCo, relaxed
# Fermi-level density of states: 3.03 states/eV/atom
# ΔE to the lowest computed polymorph: 0.3836 eV per atom
# ΔE_f: 45 kJ per mole of atoms
data_SrCaCo
_cell_length_a 5.0760
_cell_length_b 5.0760
_cell_length_c 5.0760
_cell_angle_alpha 60.00
_cell_angle_beta 60.00
_cell_angle_gamma 60.00
_symmetry_space_group_name_H-M 'P 1'
_symmetry_Int_Tables_number 1
loop_
_symmetry_equiv_pos_as_xyz
'x,y,z'
loop_
_atom_site_label
_atom_site_fract_x
_atom_site_fract_y
_atom_site_fract_z
Sr1 0.0000 0.0000 0.0000
Ca1 0.5000 0.5000 0.5000
Co1 0.7500 0.7500 0.7500


[15]
# PBE-GGA Sr2CaCo, relaxed
# Fermi-level density of states: 2.05 states/eV/atom
# ΔE to the lowest computed polymorph: 0.0235 eV per atom
# ΔE_f: 31 kJ per mole of atoms
data_Sr2CaCo
_cell_length_a 3.7891
_cell_length_b 3.7891
_cell_length_c 9.8355
_cell_angle_alpha 90.00
_cell_angle_beta 90.00
_cell_angle_gamma 90.00
_symmetry_space_group_name_H-M 'P 1'
_symmetry_Int_Tables_number 1
loop_
_symmetry_equiv_pos_as_xyz
'x,y,z'
loop_
_atom_site_label
_atom_site_fract_x
_atom_site_fract_y
_atom_site_fract_z
Sr1 0.0000 0.0000 0.1781
Sr2 0.0000 0.0000 0.8219
Ca1 0.5000 0.5000 0.5000
Co1 0.5000 0.5000 0.0000